The following is a meta-GGA SCAN calculation of a PBEsol-optimized structure of CuTeS2Cl, from Alexandria.

Computed properties:
uncorrected energy = -15.330 eV/atom
magnetic moment = 0.00 Bohr magnetons per cell

Lattice parameters (Å, degrees): 5.002 5.002 5.089 90.00 90.00 90.00
Space group P4/mmm (No. 123)
Unique sites:
Cu1 0.000 0.000 0.000 x1
Te1 0.500 0.500 0.500 x1
S1 0.000 0.500 0.500 x2
Cl1 0.500 0.500 0.000 x1

=====

The following is a meta-GGA SCAN calculation of a PBEsol-optimized structure of CdHgRu2, from Alexandria.

Computed properties:
DFT formation energy = 323 meV per atom
magnetic moment = 0.00 Bohr magnetons per cell

Lattice parameters (Å, degrees): 2.8199 2.8199 28.6842 90.00 90.00 120.00
Space group R3m (No. 160, hexagonal axes)
Unique sites:
Cd1 0.0000 0.0000 0.0000 x3
Hg1 0.0000 0.0000 0.2359 x3
Ru1 0.0000 0.0000 0.4845 x3
Ru2 0.0000 0.0000 0.7497 x3